DFT (PBE-GGA) results for an optimized crystal structure of Cs2CdI.

Computed properties:
ΔE_f (raw): -595 meV per atom
ρ: 3.09 Mg/m³
Excess energy over the best structure of this formula in the dataset: 0.185 eV per atom
D(E_F): 3.11 states/eV/f.u.

a b c (Å): 10.4040 10.4040 10.0217
angles (deg): 90.00 90.00 90.00
Closest atoms and distances in Å follow each position.
Space group I-42d (No. 122)
Unique sites:
Cs 0.2298 0.2500 0.1250 x8  2 I 3.75, 2 Cd 4.03
Cd 0.0000 0.0000 0.5000 x4  4 Cs 4.03
I 0.0000 0.0000 0.0000 x4  4 Cs 3.75

***

DFT (PBE-GGA) results for an optimized crystal structure of LuPaC.

Computed properties:
ρ: 12.48 Mg/m³
Excess energy over the best structure of this formula in the dataset: 0.427 eV per atom
D(E_F): 4.00 states/eV/f.u.

a b c (Å): 3.1180 3.1180 11.4402
angles (deg): 90.00 90.00 90.00
Closest atoms and distances in Å follow each position.
Space group I4mm (No. 107)
Unique sites:
Lu 0.0000 0.0000 0.0000 x2  4 C 2.72, 1 Pa 2.82
Pa 0.0000 0.0000 0.7536 x2  4 C 2.52, 1 Lu 2.82
C 0.0000 0.0000 0.3607 x2  4 Pa 2.52, 4 Lu 2.72

***

DFT (PBE-GGA) results for an optimized crystal structure of In3TeCl.

Computed properties:
ΔE_f (raw): 90 meV per atom
ρ: 3.18 Mg/m³
Excess energy over the best structure of this formula in the dataset: 0.420 eV per atom
D(E_F): 1.90 states/eV/f.u.

a b c (Å): 6.4258 6.4258 6.4258
angles (deg): 90.00 90.00 90.00
Closest atoms and distances in Å follow each position.
Space group Pm-3m (No. 221)
Unique sites:
In 0.0000 0.0000 0.5000 x3  2 Te 3.21
Te 0.0000 0.0000 0.0000 x1  6 In 3.21
Cl 0.5000 0.5000 0.5000 x1  12 In 4.54

***

DFT (PBE-GGA) results for an optimized crystal structure of SrPd2F11.

Computed properties:
ΔE_f (raw): -1727 meV per atom
ρ: 3.81 Mg/m³
D(E_F): 16.05 states/eV/f.u.

a b c (Å): 9.0985 9.1106 10.7264
angles (deg): 90.00 90.00 90.00
Closest atoms and distances in Å follow each position.
Space group Ibam (No. 72)
Unique sites:
Sr 0.0000 0.0000 0.2500 x4  8 F 2.55
Pd 0.1578 0.3414 0.0000 x8  6 F 1.87-2.04
F 0.0000 0.5000 0.0000 x4  2 Pd 2.04
F 0.0534 0.2335 0.1274 x16  1 Pd 1.93
F 0.1976 0.3039 0.5000 x8  1 Pd 1.87
F 0.2337 0.0548 0.3726 x16  1 Pd 1.93

***

DFT (PBE-GGA) results for an optimized crystal structure of Li8MgGa2.

Computed properties:
ρ: 1.90 Mg/m³
Excess energy over the best structure of this formula in the dataset: 0.000 eV per atom
D(E_F): 2.39 states/eV/f.u.

a b c (Å): 15.4829 4.3707 5.6638
angles (deg): 90.00 93.83 90.00
Closest atoms and distances in Å follow each position.
Space group C2/m (No. 12)
Unique sites:
Li 0.0567 0.0000 0.2170 x4  4 Li 2.73-2.92, 1 Ga 2.77, 2 Mg 2.88
Li 0.1005 0.5000 0.9630 x4  1 Ga 2.70, 5 Li 2.73-2.77, 1 Mg 2.96
Li 0.1396 0.0000 0.6901 x4  6 Li 2.68-2.90, 1 Ga 2.74
Li 0.1921 0.5000 0.3963 x4  4 Li 2.68-2.90, 3 Ga 2.76-2.90
Mg 0.0000 0.5000 0.5000 x2  12 Li 2.88-3.21
Ga 0.2300 0.0000 0.1236 x4  2 Ga 2.69, 6 Li 2.70-2.90

***

DFT (PBE-GGA) results for an optimized crystal structure of Ce2Zn2InPt5.

Computed properties:
ρ: 13.28 Mg/m³
Energy: -5.45 eV/atom
D(E_F): 15.06 states/eV/f.u.

a b c (Å): 9.8574 9.8574 3.8626
angles (deg): 90.00 90.00 90.00
Closest atoms and distances in Å follow each position.
Space group P4/mbm (No. 127)
Unique sites:
Ce 0.1785 0.3215 0.0000 x4  3 Zn 2.82-2.99, 2 Pt 3.15
Zn 0.1190 0.6190 0.0000 x4  6 Pt 2.55-2.62, 1 Ce 2.82
In 0.0000 0.0000 0.0000 x2  8 Pt 2.90
Pt 0.0000 0.5000 0.5000 x2  4 Zn 2.55
Pt 0.0651 0.7901 0.5000 x8  2 Zn 2.62, 2 In 2.90, 1 Pt 2.93

***

DFT (PBE-GGA) results for an optimized crystal structure of ReNiOs2.

Computed properties:
ρ: 18.46 Mg/m³
Excess energy over the best structure of this formula in the dataset: 0.354 eV per atom
D(E_F): 4.79 states/eV/f.u.

a b c (Å): 2.7671 4.4966 4.5222
angles (deg): 90.00 90.00 90.00
Closest atoms and distances in Å follow each position.
Space group Pmmm (No. 47)
Unique sites:
Re 0.0000 0.0000 0.0000 x1  4 Os 2.64, 4 Ni 2.65, 2 Re 2.77
Ni 0.5000 0.0000 0.5000 x1  4 Os 2.64, 4 Re 2.65, 2 Ni 2.77
Os 0.0000 0.5000 0.5000 x1  4 Ni 2.64, 6 Os 2.65-2.77
Os 0.5000 0.5000 0.0000 x1  4 Re 2.64, 6 Os 2.65-2.77

***

DFT (PBE-GGA) results for an optimized crystal structure of Ho8Hg4PSe3.

Computed properties:
ΔE_f (raw): -1070 meV per atom
ρ: 9.71 Mg/m³
D(E_F): 8.13 states/eV/f.u.

a b c (Å): 13.6290 7.8867 8.8509
angles (deg): 90.00 120.80 90.00
Closest atoms and distances in Å follow each position.
Space group C2/m (No. 12)
Unique sites:
Ho 0.0066 0.2421 0.2783 x8  1 P 2.77, 2 Se 2.86, 2 Hg 3.08
Ho 0.2355 0.0000 0.7215 x4  1 P 2.77, 2 Se 2.86, 2 Hg 3.08
Ho 0.2432 0.5000 0.7287 x4  3 Se 2.86-2.87, 3 Hg 3.07
Hg 0.0000 0.0000 0.0000 x2  6 Ho 3.07-3.08
Hg 0.0000 0.5000 0.0000 x2  6 Ho 3.16
Hg 0.2500 0.2500 0.0000 x4  6 Ho 3.07-3.08
P 0.0000 0.0000 0.5000 x2  6 Ho 2.77
Se 0.0000 0.5000 0.5000 x2  6 Ho 2.86-2.87
Se 0.2500 0.2500 0.5000 x4  6 Ho 2.86